Below is Cs3BeAs2 after structural relaxation, with properties calculated at the PBE-GGA level.

Electronic total energy ... -2.75 eV per atom
Formation enthalpy at 0 K ... -154 meV per atom

abc: 12.0515 12.0515 13.8319
angles: 122.45 122.45 19.52
With the nearest neighbours (Å) after each atom.
Atoms (fractional coordinates):
1 Cs 0.0281 0.0281 0.2501  3 As 3.41-3.59, 2 Be 3.81
2 Cs 0.1875 0.1875 0.6132  3 As 3.36-3.57, 2 Be 3.75
3 Cs 0.3231 0.3231 0.9852  2 As 3.46
4 Cs 0.6769 0.6769 0.0148  2 As 3.46
5 Cs 0.8125 0.8125 0.3868  3 As 3.36-3.57, 2 Be 3.75
6 Cs 0.9719 0.9719 0.7499  3 As 3.41-3.59, 2 Be 3.81
7 Be 0.4209 0.4209 0.3233  4 As 2.38-2.45
8 Be 0.5791 0.5791 0.6767  4 As 2.38-2.45
9 As 0.1238 0.1238 0.7784  2 Be 2.38
10 As 0.4594 0.4594 0.5252  1 As 2.38, 2 Be 2.42-2.45
11 As 0.5406 0.5406 0.4748  1 As 2.38, 2 Be 2.42-2.45
12 As 0.8762 0.8762 0.2216  2 Be 2.38


Below is HfAlTe after structural relaxation, with properties calculated at the PBE-GGA level.

Electronic total energy ... -5.96 eV per atom
Uncorrected formation energy ... -1.037 eV per formula unit

abc: 5.3014 5.3014 7.4670
angles: 110.24 110.24 39.85
With the nearest neighbours (Å) after each atom.
Atoms (fractional coordinates):
1 Hf 0.0000 0.0000 0.0000  6 Te 3.03-3.21, 4 Al 3.12
2 Hf 0.0000 0.0000 0.5000  4 Te 2.90, 6 Al 2.99-3.03
3 Al 0.3268 0.3268 0.6513  2 Al 2.86, 5 Hf 2.99-3.12, 3 Te 3.03
4 Al 0.6732 0.6732 0.3487  2 Al 2.86, 5 Hf 2.99-3.12, 3 Te 3.03
5 Te 0.3457 0.3457 0.1882  5 Hf 2.90-3.21, 3 Al 3.03
6 Te 0.6543 0.6543 0.8118  5 Hf 2.90-3.21, 3 Al 3.03


Below is Sm7Al2Ge2 after structural relaxation, with properties calculated at the PBE-GGA level.

Electronic total energy ... -4.81 eV per atom
Formation enthalpy at 0 K ... -287 meV per atom

abc: 6.8405 6.8405 7.2803
angles: 90.00 90.00 107.62
With the nearest neighbours (Å) after each atom.
Atoms (fractional coordinates):
1 Sm 0.0000 0.0000 0.0000  2 Ge 3.16
2 Sm 0.0000 0.5000 0.2796  2 Ge 2.89, 1 Sm 3.21
3 Sm 0.0000 0.5000 0.7204  2 Ge 2.89, 1 Sm 3.21
4 Sm 0.5000 0.0000 0.2796  2 Ge 2.89, 1 Sm 3.21
5 Sm 0.5000 0.0000 0.7204  2 Ge 2.89, 1 Sm 3.21
6 Sm 0.5000 0.5000 0.2609  2 Ge 3.03, 2 Al 3.22
7 Sm 0.5000 0.5000 0.7391  2 Ge 3.03, 2 Al 3.22
8 Al 0.1646 0.1646 0.5000  1 Al 2.66
9 Al 0.8354 0.8354 0.5000  1 Al 2.66
10 Ge 0.2858 0.7142 0.0000  7 Sm 2.89-3.16
11 Ge 0.7142 0.2858 0.0000  7 Sm 2.89-3.16


Below is Er3HfTl3S8 after structural relaxation, with properties calculated at the PBE-GGA level.

Electronic total energy ... -5.77 eV per atom
Uncorrected formation energy ... -22.760 eV per formula unit

abc: 8.8506 8.8506 8.8506
angles: 52.46 52.46 52.46
With the nearest neighbours (Å) after each atom.
Atoms (fractional coordinates):
1 Er 0.0000 0.5000 0.5000  6 S 2.71-2.73
2 Er 0.5000 0.0000 0.5000  6 S 2.71-2.73
3 Er 0.5000 0.5000 0.0000  6 S 2.71-2.73
4 Hf 0.0000 0.0000 0.0000  6 S 2.59
5 Tl 0.0000 0.0000 0.5000  6 S 3.23
6 Tl 0.0000 0.5000 0.0000  6 S 3.23
7 Tl 0.5000 0.0000 0.0000  6 S 3.23
8 S 0.2215 0.2215 0.7467  1 Hf 2.59, 2 Er 2.73
9 S 0.2215 0.7467 0.2215  1 Hf 2.59, 2 Er 2.73
10 S 0.2533 0.7785 0.7785  1 Hf 2.59, 2 Er 2.73
11 S 0.2680 0.2680 0.2680  3 Er 2.71
12 S 0.7320 0.7320 0.7320  3 Er 2.71
13 S 0.7467 0.2215 0.2215  1 Hf 2.59, 2 Er 2.73
14 S 0.7785 0.2533 0.7785  1 Hf 2.59, 2 Er 2.73
15 S 0.7785 0.7785 0.2533  1 Hf 2.59, 2 Er 2.73


Below is Zn2TeIr after structural relaxation, with properties calculated at the PBE-GGA level.

Electronic total energy ... -3.69 eV per atom
Uncorrected formation energy ... -0.198 eV per formula unit

abc: 6.7059 6.7059 6.7059
angles: 154.20 142.91 45.73
With the nearest neighbours (Å) after each atom.
Atoms (fractional coordinates):
1 Zn 0.0000 0.0000 0.0000  2 Ir 2.62, 2 Zn 2.87
2 Zn 0.6553 0.1553 0.5000  4 Ir 2.62, 2 Zn 2.87
3 Te 0.3578 0.3578 0.0000  2 Ir 2.72, 2 Te 2.99
4 Ir 0.1737 0.6737 0.5000  6 Zn 2.62, 2 Te 2.72


Below is Pr2YTm after structural relaxation, with properties calculated at the PBE-GGA level.

Electronic total energy ... -5.03 eV per atom
Formation enthalpy at 0 K ... 93 meV per atom

abc: 5.7671 5.7671 5.7671
angles: 60.00 60.00 60.00
With the nearest neighbours (Å) after each atom.
Atoms (fractional coordinates):
1 Pr 0.2500 0.2500 0.2500  4 Tm 3.53, 4 Y 3.53
2 Pr 0.7500 0.7500 0.7500  4 Tm 3.53, 4 Y 3.53
3 Y 0.0000 0.0000 0.0000  8 Pr 3.53
4 Tm 0.5000 0.5000 0.5000  8 Pr 3.53


The highest electronic total energy belongs to which entry?
Cs3BeAs2